Material: Mo2PbO8
Method: DFT, GGA+U
State: relaxed

crystal system = monoclinic
V = 19.72 Å³ per atom
total magnetic moment = 0.00 μB per cell
E_tot = -6.36 eV/atom
theoretical density = 4.0 g cm⁻³

```
Mo2PbO8
1.0
-1.114 -2.713 -4.665
-2.166 -5.927 2.784
-6.651 -1.372 1.205
Mo Pb O
2 1 8
Direct
0.654 0.829 0.829
0.346 0.171 0.171
0.000 0.000 0.000
0.190 0.323 0.903
0.810 0.097 0.677
0.314 0.874 0.874
0.686 0.126 0.126
0.190 0.903 0.323
0.810 0.677 0.097
0.702 0.685 0.685
0.298 0.315 0.315
```